Entry from the Open Quantum Materials Database: a relaxed structure of InFe2Pd (PBE-GGA).

Properties
**M_tot**: 5.21 μB/f.u.
**DFT total energy**: -6.139 eV/atom

Cell lengths 6.219, 6.219, 6.219 Å; angles 90.00, 90.00, 90.00 degrees
Space group F-43m (No. 216)
Symmetry-distinct sites (fractional):
1 In 0.000 0.000 0.000 [4 per cell]
2 Fe 0.000 0.000 0.500 [4 per cell]
3 Fe 0.250 0.250 0.750 [4 per cell]
4 Pd 0.250 0.250 0.250 [4 per cell]